Density functional theory data (SCAN) for a PBEsol-optimized structure of ScNiCl2.

abc: 6.325 6.325 4.104
angles: 91.74 91.74 30.89
Fractional coordinates of all 4 atoms:
Sc (0.000, 0.000, 0.000)
Ni (0.500, 0.500, 0.500)
Cl (0.356, 0.356, 0.774)
Cl (0.644, 0.644, 0.226)

Computed properties:
- total energy (eV/atom) = -12.672
- offset from the most stable computed form (eV per formula unit) = 0.00
- M_tot (Bohr magnetons per cell) = 0.00
- ΔE_f (raw) (eV per atom) = -1.080
- calculated density (Mg/m³) = 3.44

---

Density functional theory data (SCAN) for a PBEsol-optimized structure of Sc2NiCl.

abc: 3.609 3.609 5.301
angles: 90.00 90.00 90.00
Fractional coordinates of all 4 atoms:
Sc (0.000, 0.000, 0.000)
Sc (0.500, 0.500, 0.500)
Ni (0.000, 0.000, 0.500)
Cl (0.500, 0.500, 0.000)

Computed properties:
- total energy (eV/atom) = -13.970
- offset from the most stable computed form (eV per formula unit) = 0.00
- M_tot (Bohr magnetons per cell) = 0.00
- ΔE_f (raw) (eV per atom) = -0.814
- calculated density (Mg/m³) = 4.43

---

Density functional theory data (SCAN) for a PBEsol-optimized structure of NiSeCl2.

abc: 3.662 3.662 7.502
angles: 97.81 97.81 53.96
Fractional coordinates of all 4 atoms:
Ni (0.000, 0.000, 0.000)
Se (0.319, 0.319, 0.831)
Cl (0.462, 0.462, 0.571)
Cl (0.648, 0.648, 0.173)

Computed properties:
- total energy (eV/atom) = -13.501
- offset from the most stable computed form (eV per formula unit) = 0.00
- M_tot (Bohr magnetons per cell) = 0.00
- ΔE_f (raw) (eV per atom) = -0.449
- calculated density (Mg/m³) = 4.31